Mg3Zn | Alexandria | SCAN | PBEsol geometry; total magnetic moment = 0.001 μB per atom; formation energy from the elements = -0.005 eV/atom; energy = -28.46 eV/cell
1.0
-2.788 0.855 1.107
1.979 -1.587 1.815
3.765 8.250 3.106
Zn Mg
1 3
direct
0.000 0.000 0.000
0.000 0.000 0.500
0.667 0.333 0.772
0.667 0.333 0.228